# 1
Here is crystalline CePm6Er12 at its relaxed geometry from Alexandria via LeMat-Bulk. Energies are from PBE-GGA.

The space group is R-3m (No. 166, hexagonal axes) and the conventional cell measures 13.2009, 13.2009 and 12.4687 Å, with angles of 90.00, 90.00 and 120.00 degrees. The inequivalent atoms are Ce at (0.0000, 0.0000, 0.0000), Pm at (0.0388, 0.5194, 0.6190), Er at (0.0000, 0.2559, 0.5000) and Er at (0.0910, 0.1821, 0.2615).

For the formation energy, the calculation gives 217 meV/atom. For the total magnetization, the calculation gives 0.5 μB/f.u.

# 2
Here is crystalline CePm2Er5 at its relaxed geometry from Alexandria via LeMat-Bulk. Energies are from PBE-GGA.

The space group is Pbam (No. 55) and the conventional cell measures 7.060, 20.044 and 3.544 Å, with angles of 90.00, 90.00 and 90.00 degrees. The inequivalent atoms are Ce at (0.000, 0.000, 0.000), Pm at (0.249, 0.125, 0.500), Er at (0.000, 0.500, 0.000), Er at (0.004, 0.250, 0.000) and Er at (0.245, 0.876, 0.500).

For the formation energy, the calculation gives 39 meV/atom. For the total magnetization, the calculation gives 0.8 μB/f.u.

# 3
Here is crystalline CePm4Er8 at its relaxed geometry from Alexandria via LeMat-Bulk. Energies are from PBE-GGA.

The space group is R-3m (No. 166, hexagonal axes) and the conventional cell measures 10.9774, 10.9774 and 13.4184 Å, with angles of 90.00, 90.00 and 120.00 degrees. The inequivalent atoms are Ce at (0.0000, 0.0000, 0.0000), Pm at (0.0000, 0.0000, 0.5000), Pm at (0.0000, 0.5000, 0.5000), Er at (0.0000, 0.0000, 0.2583) and Er at (0.0111, 0.5055, 0.2468).

For the formation energy, the calculation gives 527 meV/atom. For the total magnetization, the calculation gives 2.6 μB/f.u.

# 4
Here is crystalline CePm3Er4 at its relaxed geometry from Alexandria via LeMat-Bulk. Energies are from PBE-GGA.

The space group is P-1 (No. 2) and the conventional cell measures 3.565, 6.185 and 11.722 Å, with angles of 79.84, 89.93 and 89.95 degrees. The inequivalent atoms are Ce at (0.000, 0.000, 0.000), Pm at (0.000, 0.500, 0.500), Pm at (0.500, 0.000, 0.500), Pm at (0.500, 0.500, 0.000), Er at (0.001, 0.753, 0.751) and Er at (0.499, 0.754, 0.247).

For the formation energy, the calculation gives 40 meV/atom. For the total magnetization, the calculation gives 0.9 μB/f.u.

# 5
Here is crystalline CePm6Er2 at its relaxed geometry from Alexandria via LeMat-Bulk. Energies are from PBE-GGA.

The space group is P2_1/c (No. 14) and the conventional cell measures 6.268, 9.871 and 11.360 Å, with angles of 90.00, 121.06 and 90.00 degrees. The inequivalent atoms are Ce at (0.000, 0.000, 0.000), Pm at (0.126, 0.144, 0.483), Pm at (0.236, 0.724, 0.848), Pm at (0.436, 0.110, 0.304) and Er at (0.335, 0.077, 0.849).

For the formation energy, the calculation gives 150 meV/atom. For the total magnetization, the calculation gives 1.1 μB/f.u.

# 6
Here is crystalline CePm3Er6 at its relaxed geometry from Alexandria via LeMat-Bulk. Energies are from PBE-GGA.

The space group is Cmc2_1 (No. 36) and the conventional cell measures 9.443, 15.181 and 8.965 Å, with angles of 90.00, 90.00 and 90.00 degrees. The inequivalent atoms are Ce at (0.000, 0.227, 0.000), Pm at (0.000, 0.053, 0.225), Pm at (0.247, 0.065, 0.910), Er at (0.000, 0.283, 0.358), Er at (0.000, 0.450, 0.094), Er at (0.175, 0.147, 0.581) and Er at (0.175, 0.350, 0.745).

For the formation energy, the calculation gives 151 meV/atom. For the total magnetization, the calculation gives 1.1 μB/f.u.

# 7
Here is crystalline CePmEr2 at its relaxed geometry from Alexandria via LeMat-Bulk. Energies are from PBE-GGA.

The space group is P4/mmm (No. 123) and the conventional cell measures 5.035, 5.035 and 4.945 Å, with angles of 90.00, 90.00 and 90.00 degrees. The inequivalent atoms are Ce at (0.000, 0.000, 0.000), Pm at (0.500, 0.500, 0.000) and Er at (0.000, 0.500, 0.500).

For the formation energy, the calculation gives 70 meV/atom. For the total magnetization, the calculation gives 0.6 μB/f.u.

# 8
Here is crystalline CePm2Er2 at its relaxed geometry from Alexandria via LeMat-Bulk. Energies are from PBE-GGA.

The space group is I4/mmm (No. 139) and the conventional cell measures 4.563, 4.563 and 16.563 Å, with angles of 90.00, 90.00 and 90.00 degrees. The inequivalent atoms are Ce at (0.000, 0.000, 0.000), Pm at (0.000, 0.500, 0.250) and Er at (0.000, 0.000, 0.406).

For the formation energy, the calculation gives 421 meV/atom. For the total magnetization, the calculation gives 1.5 μB/f.u.

# 9
Here is crystalline CePm2Er at its relaxed geometry from Alexandria via LeMat-Bulk. Energies are from PBE-GGA.

The space group is Fm-3m (No. 225) and the conventional cell measures 8.094, 8.094 and 8.094 Å, with angles of 90.00, 90.00 and 90.00 degrees. The inequivalent atoms are Ce at (0.000, 0.000, 0.000), Pm at (0.250, 0.250, 0.250) and Er at (0.000, 0.000, 0.500).

For the formation energy, the calculation gives 196 meV/atom. For the total magnetization, the calculation gives 3.3 μB/f.u.

# 10
Here is crystalline CePmEr2 at its relaxed geometry from Alexandria via LeMat-Bulk. Energies are from PBE-GGA.

The space group is Fm-3m (No. 225) and the conventional cell measures 7.999, 7.999 and 7.999 Å, with angles of 90.00, 90.00 and 90.00 degrees. The inequivalent atoms are Ce at (0.000, 0.000, 0.000), Pm at (0.000, 0.000, 0.500) and Er at (0.250, 0.250, 0.250).

For the formation energy, the calculation gives 153 meV/atom. For the total magnetization, the calculation gives 0.7 μB/f.u.

# 11
Here is crystalline Ce2Pm8Er at its relaxed geometry from Alexandria via LeMat-Bulk. Energies are from PBE-GGA.

The space group is Immm (No. 71) and the conventional cell measures 5.608, 8.315 and 15.975 Å, with angles of 90.00, 90.00 and 90.00 degrees. The inequivalent atoms are Ce at (0.000, 0.000, 0.201), Pm at (0.000, 0.204, 0.000), Pm at (0.000, 0.294, 0.361), Pm at (0.000, 0.500, 0.157) and Er at (0.000, 0.000, 0.500).

For the formation energy, the calculation gives 156 meV/atom. For the total magnetization, the calculation gives 1.5 μB/f.u.

# 12
Here is crystalline CePm4Er4 at its relaxed geometry from Alexandria via LeMat-Bulk. Energies are from PBE-GGA.

The space group is I4/mmm (No. 139) and the conventional cell measures 12.524, 12.524 and 3.729 Å, with angles of 90.00, 90.00 and 90.00 degrees. The inequivalent atoms are Ce at (0.000, 0.000, 0.000), Pm at (0.000, 0.328, 0.000) and Er at (0.167, 0.167, 0.500).

For the formation energy, the calculation gives 139 meV/atom. For the total magnetization, the calculation gives 0.9 μB/f.u.